Arrangement A

DFT (PBE) results for a geometry-optimized SrCa2Tl structure.

Cell: 7.2500 12.4092 3.8454 Å, 90.00 117.53 90.00°
Closest atoms and distances in Å follow each position.
Space group C2/m (No. 12)
One atom of each set of equivalent atoms:
Sr: 0.0000 0.0000 0.0000 x2  4 Tl 3.62-3.88, 4 Ca 3.66, 2 Sr 3.85
Ca: 0.2500 0.2500 0.5000 x4  6 Ca 3.62-3.88, 2 Sr 3.66, 2 Tl 3.66
Tl: 0.0000 0.5000 0.0000 x2  4 Sr 3.62-3.88, 4 Ca 3.66, 2 Tl 3.85

=====

Arrangement B

DFT (PBE) results for a geometry-optimized SrCa2Tl structure.

Cell: 8.2607 8.2607 8.2607 Å, 90.00 90.00 90.00°
Closest atoms and distances in Å follow each position.
Space group Fm-3m (No. 225)
One atom of each set of equivalent atoms:
Sr: 0.0000 0.0000 0.0000 x4  8 Ca 3.58
Ca: 0.2500 0.2500 0.2500 x8  4 Tl 3.58, 4 Sr 3.58
Tl: 0.0000 0.0000 0.5000 x4  8 Ca 3.58

=====

Most stable = arrangement B

=====

Arrangement A

DFT (PBE) results for a geometry-optimized SrCa2Tl structure.

Cell: 5.8775 5.8775 8.3013 Å, 90.00 90.00 90.00°
Closest atoms and distances in Å follow each position.
Space group I-4m2 (No. 119)
One atom of each set of equivalent atoms:
Sr: 0.0000 0.0000 0.0000 x2  4 Tl 3.60, 4 Ca 3.60
Ca: 0.0000 0.0000 0.5000 x2  4 Tl 3.60, 4 Ca 3.60
Ca: 0.0000 0.5000 0.2500 x2  4 Ca 3.60, 4 Sr 3.60
Tl: 0.0000 0.5000 0.7500 x2  4 Ca 3.60, 4 Sr 3.60

=====

Arrangement B

DFT (PBE) results for a geometry-optimized SrCa2Tl structure.

Cell: 3.9856 5.4764 7.3194 Å, 90.00 105.09 90.00°
Closest atoms and distances in Å follow each position.
Space group P2/m (No. 10)
One atom of each set of equivalent atoms:
Sr: 0.0000 0.0000 0.0000 x1  2 Tl 3.66, 8 Ca 3.90-3.96, 2 Sr 3.99
Ca: 0.3813 0.5000 0.7176 x2  2 Tl 3.33, 1 Ca 3.55
Tl: 0.0000 0.0000 0.5000 x1  4 Ca 3.33, 2 Sr 3.66

=====

Arrangement C

DFT (PBE) results for a geometry-optimized SrCa2Tl structure.

Cell: 4.0220 4.0899 9.3372 Å, 90.00 90.17 90.00°
Closest atoms and distances in Å follow each position.
Space group Pm (No. 6)
One atom of each set of equivalent atoms:
Sr: 0.0000 0.0000 0.0000 x1  4 Tl 3.54-3.55, 1 Ca 3.77
Ca: 0.9999 0.0000 0.5961 x1  4 Tl 3.32-3.33
Ca: 0.5000 0.5000 0.3159 x1  8 Ca 3.88-4.09, 4 Sr 4.11-4.12, 1 Tl 4.30
Tl: 0.5000 0.5000 0.7765 x1  4 Ca 3.32-3.33, 4 Sr 3.54-3.55

=====

Most stable = arrangement C

=====

Arrangement A

DFT (PBE) results for a geometry-optimized Sr3CaTl structure.

Cell: 6.6756 6.6756 6.6756 Å, 90.00 90.00 90.00°
Closest atoms and distances in Å follow each position.
Space group Pm-3m (No. 221)
One atom of each set of equivalent atoms:
Sr: 0.0000 0.0000 0.5000 x3  2 Ca 3.34
Ca: 0.0000 0.0000 0.0000 x1  6 Sr 3.34
Tl: 0.5000 0.5000 0.5000 x1  12 Sr 4.72

=====

Arrangement B

DFT (PBE) results for a geometry-optimized Sr3CaTl structure.

Cell: 4.2369 9.3558 11.4434 Å, 102.08 100.64 90.00°
Closest atoms and distances in Å follow each position.
Space group P-1 (No. 2)
One atom of each set of equivalent atoms:
Sr: 0.0009 0.2002 0.0020 x2  4 Tl 3.55-3.65, 1 Sr 3.74
Sr: 0.1796 0.8736 0.3601 x2  2 Tl 3.46
Sr: 0.1929 0.3164 0.3864 x2  2 Tl 3.53
Ca: 0.4090 0.4599 0.8173 x2  8 Sr 3.94-4.11, 3 Ca 4.02-4.24
Tl: 0.3995 0.9408 0.7976 x2  8 Sr 3.46-3.65

=====

Arrangement C

DFT (PBE) results for a geometry-optimized Sr3CaTl structure.

Cell: 8.2299 8.2299 24.5754 Å, 90.00 90.00 120.00°
Closest atoms and distances in Å follow each position.
Space group R-3m (No. 166, hexagonal axes)
One atom of each set of equivalent atoms:
Sr: 0.0047 0.5023 0.4011 x18  2 Tl 3.39-3.40
Ca: 0.0000 0.0000 0.4180 x6  1 Ca 4.03, 9 Sr 4.14-4.42
Tl: 0.0000 0.0000 0.1656 x6  6 Sr 3.39-3.40

=====

Arrangement D

DFT (PBE) results for a geometry-optimized Sr3CaTl structure.

Cell: 6.4367 6.4367 6.4367 Å, 90.00 90.00 90.00°
Closest atoms and distances in Å follow each position.
Space group Pm-3m (No. 221)
One atom of each set of equivalent atoms:
Sr: 0.0000 0.0000 0.5000 x3  2 Tl 3.22
Ca: 0.5000 0.5000 0.5000 x1  12 Sr 4.55
Tl: 0.0000 0.0000 0.0000 x1  6 Sr 3.22

=====

Most stable = arrangement B

=====

Arrangement A

DFT (PBE) results for a geometry-optimized Sr2CaTl2 structure.

Cell: 4.8661 7.5571 10.2055 Å, 90.00 90.00 90.00°
Closest atoms and distances in Å follow each position.
Space group Immm (No. 71)
One atom of each set of equivalent atoms:
Sr: 0.0000 0.0000 0.2001 x4  6 Tl 3.56-3.75, 2 Ca 3.91
Ca: 0.0000 0.5000 0.0000 x2  4 Tl 3.26
Tl: 0.0000 0.2874 0.5000 x4  1 Tl 3.21, 2 Ca 3.26, 4 Sr 3.56

=====

Arrangement B

DFT (PBE) results for a geometry-optimized Sr2CaTl2 structure.

Cell: 5.1644 5.1644 14.6179 Å, 90.00 90.00 90.00°
Closest atoms and distances in Å follow each position.
Space group I4/mmm (No. 139)
One atom of each set of equivalent atoms:
Sr: 0.0000 0.5000 0.2500 x4  4 Tl 3.41, 4 Sr 3.65
Ca: 0.0000 0.0000 0.0000 x2  8 Tl 3.92
Tl: 0.0000 0.0000 0.4024 x4  1 Tl 2.85

=====

Arrangement C

DFT (PBE) results for a geometry-optimized Sr2CaTl2 structure.

Cell: 9.1867 9.1867 4.3616 Å, 90.00 90.00 90.00°
Closest atoms and distances in Å follow each position.
Space group P4/mbm (No. 127)
One atom of each set of equivalent atoms:
Sr: 0.1616 0.3384 0.0000 x4  6 Tl 3.41-3.51
Ca: 0.0000 0.0000 0.5000 x2  4 Tl 3.56
Tl: 0.1370 0.6370 0.5000 x4  6 Sr 3.41-3.51, 1 Tl 3.56, 2 Ca 3.56

=====

Most stable = arrangement C

=====

Arrangement A

DFT (PBE) results for a geometry-optimized Sr6Ca2Tl structure.

Cell: 19.9104 8.1750 14.3898 Å, 90.00 131.67 90.00°
Closest atoms and distances in Å follow each position.
Space group C2/c (No. 15)
One atom of each set of equivalent atoms:
Sr: 0.0839 0.1837 0.4636 x8  1 Tl 3.48
Sr: 0.1572 0.4392 0.8104 x8  1 Tl 3.63, 2 Ca 3.95-3.97, 1 Sr 4.02
Sr: 0.1783 0.0481 0.2973 x8  1 Tl 3.47
Ca: 0.0872 0.3198 0.0020 x8  1 Tl 3.18
Tl: 0.0000 0.1336 0.7500 x4  2 Ca 3.18, 4 Sr 3.47-3.48

=====

Arrangement B

DFT (PBE) results for a geometry-optimized Sr6Ca2Tl structure.

Cell: 4.0382 11.5548 18.2910 Å, 90.00 90.00 90.00°
Closest atoms and distances in Å follow each position.
Space group Immm (No. 71)
One atom of each set of equivalent atoms:
Sr: 0.0000 0.1596 0.1730 x8  1 Tl 3.66, 7 Sr 3.69-4.05, 1 Ca 3.95
Sr: 0.0000 0.2167 0.5000 x4  2 Tl 3.85, 6 Sr 4.02-4.04, 4 Ca 4.24
Ca: 0.0000 0.5000 0.1513 x4  10 Sr 3.95-4.24, 2 Ca 4.04
Tl: 0.0000 0.0000 0.0000 x2  8 Sr 3.66-3.85, 2 Tl 4.04

=====

Most stable = arrangement A